Here is TbPaPb after structural relaxation from Alexandria. Energies are from PBE.

It has space group I4/mmm (No. 139), with a = 3.4546 Å, b = 3.4546 Å, c = 29.1743 Å, α = 90.00°, β = 90.00° and γ = 90.00°. The distinct sites, in fractional coordinates, are Tb at (0.0000, 0.0000, 0.1358), Pa at (0.0000, 0.0000, 0.2836) and Pb at (0.0000, 0.0000, 0.4465).

The value obtained for the formation enthalpy at 0 K is -0.0204 eV per atom. The density of states at the Fermi level is 13.75 states/eV per cell. Its total magnetization is 0.00 μB/cell. The energy above the most stable polymorph in this dataset is 0.00 eV per formula unit. The calculation puts the total energy at -5.965 eV/atom.